Entry 1:
LaAlPt3: relaxed, PBE.

abc: 4.791 4.791 4.762
angles: 90.00 90.00 105.10
Element x y z (fractional)
La (0.000, 0.000, 0.000)
Al (0.500, 0.500, 0.500)
Pt (0.000, 0.500, 0.500)
Pt (0.500, 0.000, 0.500)
Pt (0.500, 0.500, 0.000)

Output
- symmetry = Cmmm
- total magnetic moment (μB/f.u.) = 0.00
- formation enthalpy at 0 K (eV per atom) = -0.7461
- relative energy among the computed polymorphs (meV per atom) = 250

***

Entry 2:
LaHoMnHg: relaxed, PBE.

abc: 5.277 5.277 5.277
angles: 60.00 60.00 60.00
Element x y z (fractional)
La (0.000, 0.000, 0.000)
Ho (0.500, 0.500, 0.500)
Mn (0.750, 0.750, 0.750)
Hg (0.250, 0.250, 0.250)

Output
- symmetry = F-43m
- total magnetic moment (μB/f.u.) = 3.08
- formation enthalpy at 0 K (eV per atom) = -0.0580

***

Entry 3:
UTlCoS3: relaxed, PBE.

abc: 8.954 3.826 8.985
angles: 90.00 110.03 90.00
Element x y z (fractional)
U (0.181, 0.250, 0.163)
U (0.819, 0.750, 0.837)
Tl (0.304, 0.750, 0.758)
Tl (0.696, 0.250, 0.242)
Co (0.417, 0.750, 0.412)
Co (0.583, 0.250, 0.588)
S (0.037, 0.250, 0.842)
S (0.321, 0.250, 0.471)
S (0.380, 0.750, 0.148)
S (0.620, 0.250, 0.852)
S (0.679, 0.750, 0.529)
S (0.963, 0.750, 0.158)

Output
- uncorrected formation energy (meV/atom) = -866
- symmetry = P2_1/m
- total magnetic moment (μB/f.u.) = 2.26